First-principles (PBE-GGA) data for a relaxed Nd2BiI2 crystal, as listed in Alexandria.

The structure in extended XYZ format:
```
5
Lattice="2.263 1.307 11.552 -2.263 1.307 11.552 0.000 -2.614 11.552" Properties=species:S:1:pos:R:3 pbc="T T T"
Nd 0.000 0.000 3.964
Nd 0.000 0.000 30.692
Bi 0.000 0.000 17.328
I 0.000 0.000 9.557
I 0.000 0.000 25.099
```

Properties
Its space group is R-3m, No. 166. The total energy is -4.507 eV/atom. The value obtained for the raw formation energy is -1.204 eV per atom.